(1)
AcSmPt2: optimized geometry, GGA-PBE.

As for the crystal system: orthorhombic. The energy relative to the elements comes out at -1151 meV per atom. The density of states at the Fermi level is 0.589 states/eV per atom.

It has space group Amm2 (No. 38), with a = 4.619 Å, b = 4.006 Å, c = 11.143 Å, α = 90.00°, β = 90.00° and γ = 90.00°. The asymmetric unit holds Ac at (0.000, 0.000, 0.000), Sm at (0.500, 0.000, 0.728), Pt at (0.000, 0.000, 0.272) and Pt at (0.500, 0.000, 0.451).


(2)
HgGeSb3: optimized geometry, GGA-PBE.

As for the crystal system: cubic. The density of states at the Fermi level is 0.908 states/eV per atom. The formation energy (no corrections) comes out at 954 meV per atom.

It has space group Pm-3m (No. 221), with a = 5.530 Å, b = 5.530 Å, c = 5.530 Å, α = 90.00°, β = 90.00° and γ = 90.00°. The asymmetric unit holds Hg at (0.000, 0.000, 0.000), Ge at (0.500, 0.500, 0.500) and Sb at (0.000, 0.000, 0.500).


(3)
Fe2CoPt: optimized geometry, GGA-PBE.

As for the crystal system: trigonal. The energy relative to the elements comes out at -12 meV per atom. The density of states at the Fermi level is 0.612 states/eV per atom.

It has space group R3m (No. 160, hexagonal axes), with a = 2.6844 Å, b = 2.6844 Å, c = 24.8191 Å, α = 90.00°, β = 90.00° and γ = 120.00°. The asymmetric unit holds Fe at (0.0000, 0.0000, 0.0000), Fe at (0.0000, 0.0000, 0.2527), Co at (0.0000, 0.0000, 0.5110) and Pt at (0.0000, 0.0000, 0.7545).


(4)
ScV2H: optimized geometry, GGA-PBE.

As for the crystal system: cubic. The total DFT energy (no corrections) comes out at -220.2 eV/cell. The density of states at the Fermi level is 1.964 states/eV per atom.

It has space group Fd-3m (No. 227, origin choice 2), with a = 7.681 Å, b = 7.681 Å, c = 7.681 Å, α = 90.00°, β = 90.00° and γ = 90.00°. The asymmetric unit holds Sc at (0.125, 0.125, 0.125), V at (0.000, 0.000, 0.500) and H at (0.125, 0.125, 0.625).


Question: The highest density of states at the Fermi level belongs to which entry?
Answer: ScV2H


Question: density of states at the Fermi level of number 1 (AcSmPt2)?
Answer: 0.589 states/eV per atom


Question: What is the density of states at the Fermi level in the first record?
Answer: 0.589 states/eV per atom